(1)
{
  "formula": "Zn2PdI8",
  "functional": "PBE",
  "state": "relaxed",
  "spacegroup": "No. 12",
  "raw_formation_energy_ev_per_atom": -0.33,
  "crystal_system": "monoclinic",
  "cell": [[-3.570, -3.495, -5.567], [6.614, -4.120, -3.731], [-2.238, -7.340, 3.968]],
  "species": ["I", "I", "I", "I", "I", "I", "I", "I", "Zn", "Zn", "Pd"],
  "frac_coords": [[0.808, 0.566, 0.566], [0.192, 0.434, 0.434], [0.154, 0.944, 0.255], [0.846, 0.745, 0.056], [0.393, 0.754, 0.754], [0.154, 0.255, 0.944], [0.607, 0.246, 0.246], [0.846, 0.056, 0.745], [0.292, 0.201, 0.201], [0.708, 0.799, 0.799], [0.000, 0.000, 0.000]]
}


(2)
{
  "formula": "ZnPdI4",
  "functional": "PBE",
  "state": "relaxed",
  "spacegroup": "No. 131",
  "raw_formation_energy_ev_per_atom": -0.30,
  "crystal_system": "tetragonal",
  "cell": [[-4.500, -4.930, -4.048], [5.118, 0.167, -5.893], [4.889, -7.767, 4.025]],
  "species": ["I", "I", "I", "I", "I", "I", "I", "I", "Pd", "Pd", "Zn", "Zn"],
  "frac_coords": [[0.743, 0.233, 0.500], [0.767, 0.257, 0.000], [0.233, 0.257, 0.000], [0.257, 0.767, 0.500], [0.233, 0.743, 0.000], [0.743, 0.767, 0.500], [0.767, 0.743, 0.000], [0.257, 0.233, 0.500], [0.500, 0.000, 0.500], [0.000, 0.500, 0.000], [0.000, 0.000, 0.000], [0.000, 0.000, 0.500]]
}


(3)
{
  "formula": "Zn2PdI",
  "functional": "PBE",
  "state": "relaxed",
  "spacegroup": "No. 225",
  "n_ef_per_ev_atom": 1.23,
  "raw_formation_energy_ev_per_atom": 0.44,
  "crystal_system": "cubic",
  "cell": [[3.280, 3.409, 1.113], [-0.485, 2.600, 4.077], [3.066, -0.696, 3.706]],
  "species": ["Pd", "Zn", "Zn", "I"],
  "frac_coords": [[0.000, 0.000, 0.000], [0.750, 0.750, 0.750], [0.250, 0.250, 0.250], [0.500, 0.500, 0.500]]
}


(4)
{
  "formula": "Zn2PdI",
  "functional": "PBE",
  "state": "relaxed",
  "spacegroup": "No. 122",
  "n_ef_per_ev_atom": 0.46,
  "raw_formation_energy_ev_per_atom": 0.02,
  "crystal_system": "tetragonal",
  "cell": [[-0.765, -2.986, 3.450], [4.445, 0.301, 1.246], [-0.125, 5.384, 7.734]],
  "species": ["Zn", "Zn", "Zn", "Zn", "Pd", "Pd", "I", "I"],
  "frac_coords": [[0.484, 0.125, 0.250], [0.266, 0.625, 0.250], [0.375, 0.516, 0.750], [0.875, 0.734, 0.750], [0.250, 0.750, 0.500], [0.500, 0.500, 0.000], [0.750, 0.250, 0.500], [0.000, 0.000, 0.000]]
}


(5)
{
  "formula": "Zn2PdI6",
  "functional": "PBE",
  "state": "relaxed",
  "spacegroup": "No. 12",
  "raw_formation_energy_ev_per_atom": -0.35,
  "crystal_system": "monoclinic",
  "cell": [[7.783, 0.000, 0.000], [-3.891, 8.354, -0.915], [0.000, -1.764, 6.483]],
  "species": ["I", "I", "I", "I", "I", "I", "Zn", "Zn", "Pd"],
  "frac_coords": [[0.313, 0.153, 0.290], [0.693, 0.386, 0.849], [0.160, 0.847, 0.710], [0.840, 0.153, 0.290], [0.687, 0.847, 0.710], [0.307, 0.614, 0.151], [0.388, 0.776, 0.909], [0.612, 0.224, 0.091], [0.000, 0.000, 0.000]]
}


(6)
{
  "formula": "Zn5PdI12",
  "functional": "PBE",
  "state": "relaxed",
  "spacegroup": "No. 12",
  "n_ef_per_ev_atom": 0.04,
  "raw_formation_energy_ev_per_atom": -0.40,
  "crystal_system": "monoclinic",
  "cell": [[7.092, 0.000, 0.000], [3.546, 6.148, 0.000], [0.004, 0.000, 15.024]],
  "species": ["I", "I", "I", "I", "I", "I", "I", "I", "I", "I", "I", "I", "Zn", "Zn", "Zn", "Zn", "Zn", "Pd"],
  "frac_coords": [[0.000, 0.331, 0.893], [0.331, 0.000, 0.107], [0.833, 0.000, 0.392], [0.331, 0.669, 0.893], [0.167, 0.333, 0.392], [0.000, 0.669, 0.107], [0.669, 0.331, 0.107], [0.500, 0.333, 0.608], [0.167, 0.000, 0.608], [0.669, 0.000, 0.893], [0.833, 0.667, 0.608], [0.500, 0.667, 0.392], [0.333, 0.333, 0.000], [0.667, 0.667, 0.000], [0.833, 0.334, 0.500], [0.167, 0.666, 0.500], [0.500, 0.000, 0.500], [0.000, 0.000, 0.000]]
}


(7)
{
  "formula": "Zn5Pd3I12",
  "functional": "PBE",
  "state": "relaxed",
  "spacegroup": "No. 230",
  "n_ef_per_ev_atom": 0.38,
  "raw_formation_energy_ev_per_atom": -0.12,
  "crystal_system": "cubic",
  "cell": [[-4.541, -6.269, -13.221], [14.369, -4.354, 3.047], [-9.248, -4.645, 11.297]],
  "species": ["Pd", "Pd", "Pd", "Pd", "Pd", "Pd", "Pd", "Pd", "Pd", "Pd", "Pd", "Pd", "I", "I", "I", "I", "I", "I", "I", "I", "I", "I", "I", "I", "I", "I", "I", "I", "I", "I", "I", "I", "I", "I", "I", "I", "I", "I", "I", "I", "I", "I", "I", "I", "I", "I", "I", "I", "I", "I", "I", "I", "I", "I", "I", "I", "I", "I", "I", "I", "Zn", "Zn", "Zn", "Zn", "Zn", "Zn", "Zn", "Zn", "Zn", "Zn", "Zn", "Zn", "Zn", "Zn", "Zn", "Zn", "Zn", "Zn", "Zn", "Zn"],
  "frac_coords": [[0.625, 0.375, 0.750], [0.750, 0.875, 0.625], [0.250, 0.625, 0.875], [0.625, 0.250, 0.375], [0.125, 0.250, 0.875], [0.375, 0.625, 0.250], [0.125, 0.875, 0.750], [0.875, 0.750, 0.125], [0.750, 0.375, 0.125], [0.875, 0.125, 0.250], [0.375, 0.750, 0.625], [0.250, 0.125, 0.375], [0.355, 0.378, 0.045], [0.145, 0.691, 0.523], [0.167, 0.122, 0.977], [0.523, 0.333, 0.878], [0.355, 0.977, 0.809], [0.645, 0.023, 0.191], [0.023, 0.378, 0.833], [0.455, 0.145, 0.622], [0.545, 0.691, 0.667], [0.622, 0.645, 0.455], [0.622, 0.977, 0.667], [0.809, 0.477, 0.355], [0.167, 0.045, 0.691], [0.378, 0.355, 0.545], [0.667, 0.477, 0.622], [0.023, 0.645, 0.691], [0.977, 0.355, 0.309], [0.809, 0.333, 0.955], [0.878, 0.045, 0.855], [0.833, 0.955, 0.309], [0.191, 0.523, 0.645], [0.977, 0.622, 0.167], [0.545, 0.855, 0.378], [0.333, 0.523, 0.378], [0.691, 0.545, 0.167], [0.833, 0.878, 0.023], [0.333, 0.809, 0.455], [0.378, 0.023, 0.333], [0.045, 0.167, 0.191], [0.477, 0.667, 0.122], [0.309, 0.455, 0.833], [0.122, 0.955, 0.145], [0.309, 0.855, 0.977], [0.122, 0.167, 0.477], [0.477, 0.809, 0.855], [0.523, 0.191, 0.145], [0.145, 0.455, 0.122], [0.045, 0.878, 0.355], [0.955, 0.122, 0.645], [0.455, 0.309, 0.333], [0.691, 0.145, 0.023], [0.667, 0.191, 0.545], [0.855, 0.309, 0.477], [0.645, 0.622, 0.955], [0.855, 0.545, 0.878], [0.955, 0.833, 0.809], [0.878, 0.833, 0.523], [0.191, 0.667, 0.045], [0.500, 0.500, 0.500], [0.875, 0.250, 0.625], [0.250, 0.375, 0.625], [0.125, 0.375, 0.250], [0.500, 0.000, 0.000], [0.875, 0.625, 0.750], [0.000, 0.000, 0.500], [0.500, 0.500, 0.000], [0.625, 0.750, 0.875], [0.375, 0.250, 0.125], [0.000, 0.500, 0.500], [0.125, 0.750, 0.375], [0.750, 0.125, 0.875], [0.250, 0.875, 0.125], [0.500, 0.000, 0.500], [0.750, 0.625, 0.375], [0.000, 0.000, 0.000], [0.000, 0.500, 0.000], [0.625, 0.875, 0.250], [0.375, 0.125, 0.750]]
}


(8)
{
  "formula": "Zr2ZnPdI",
  "functional": "PBE",
  "state": "relaxed",
  "spacegroup": "No. 123",
  "n_ef_per_ev_atom": 1.03,
  "raw_formation_energy_ev_per_atom": 0.23,
  "crystal_system": "tetragonal",
  "cell": [[-1.290, 4.501, 2.174], [0.919, -1.993, 4.673], [4.527, 1.433, -0.279]],
  "species": ["Zn", "I", "Zr", "Zr", "Pd"],
  "frac_coords": [[0.000, 0.000, 0.500], [0.500, 0.500, 0.500], [0.500, 0.000, 0.000], [0.000, 0.500, 0.000], [0.000, 0.000, 0.000]]
}